<a>
# Li2MnCuO4

Li2MnCuO4 after structural relaxation (GGA-PBEsol, the Alexandria database).

Results
The density of states at the Fermi level is 2.8 states/eV/f.u. The symmetry is I-4m2 (119). The magnetic moment is 3.739 μB per cell.

Unit cell a=4.0156 b=4.0156 c=5.0245 alpha=113.55 beta=113.55 gamma=90.00
Closest atoms and distances in Å follow each position.
Atoms (fractional coordinates):
Mn 0.2500 0.7500 0.5000  6 O 1.88-2.01
Cu 0.5000 0.5000 0.0000  6 O 1.99-2.02
O 0.7399 0.7399 0.4797  1 Cu 1.99, 3 Li 2.01-2.16, 2 Mn 2.01
O 0.0234 0.5234 0.0469  1 Mn 1.88, 2 Cu 2.02, 2 Li 2.02
O 0.2601 0.2601 0.5203  1 Cu 1.99, 3 Li 2.01-2.16, 2 Mn 2.01
O 0.4766 0.9766 0.9531  1 Mn 1.88, 2 Cu 2.02, 2 Li 2.02
Li 0.0000 0.0000 0.0000  6 O 2.02-2.16
Li 0.7500 0.2500 0.5000  4 O 2.01



<b>
# Li2MnCuO4

Li2MnCuO4 after structural relaxation (GGA-PBEsol, the Alexandria database).

Results
The density of states at the Fermi level is 0.3 states/eV/f.u. The symmetry is Imma (74). The magnetic moment is 3.999 μB per cell.

Unit cell a=6.0053 b=6.0053 c=5.5809 alpha=117.70 beta=117.70 gamma=98.15
Closest atoms and distances in Å follow each position.
Atoms (fractional coordinates):
Li 0.0000 0.0000 0.5000  4 O 2.03
Li 0.0000 0.0000 0.0000  4 O 2.03
Li 0.5000 0.0000 0.0000  6 O 2.06-2.13
Li 0.0000 0.5000 0.5000  6 O 2.06-2.13
Mn 0.5000 0.5000 0.5000  6 O 1.90-1.91
Mn 0.5000 0.5000 0.0000  6 O 1.90-1.91
Cu 0.0000 0.5000 0.0000  4 O 1.94
Cu 0.5000 0.0000 0.5000  4 O 1.94
O 0.7498 0.7189 0.4844  2 Mn 1.91, 3 Li 2.03-2.13
O 0.2811 0.2502 0.0156  2 Mn 1.91, 3 Li 2.03-2.13
O 0.7189 0.7498 0.9844  2 Mn 1.91, 3 Li 2.03-2.13
O 0.2502 0.2811 0.5156  2 Mn 1.91, 3 Li 2.03-2.13
O 0.2905 0.7096 0.4840  1 Mn 1.90, 2 Cu 1.94, 2 Li 2.06
O 0.2904 0.7095 0.0160  1 Mn 1.90, 2 Cu 1.94, 2 Li 2.06
O 0.7096 0.2905 0.9840  1 Mn 1.90, 2 Cu 1.94, 2 Li 2.06
O 0.7095 0.2904 0.5160  1 Mn 1.90, 2 Cu 1.94, 2 Li 2.06



Most stable structure, least stable structure: <b>, <a>.



<a>
# LiCuSe2N

LiCuSe2N after structural relaxation (GGA-PBEsol, the Alexandria database).

Results
The density of states at the Fermi level is 3.4 states/eV/f.u. The symmetry is P4/mmm (123). The magnetic moment is 2.631 μB per cell.

Unit cell a=4.3305 b=4.4751 c=4.4751 alpha=90.00 beta=90.00 gamma=90.00
Closest atoms and distances in Å follow each position.
Atoms (fractional coordinates):
Li 0.0000 0.0000 0.0000  2 Cu 2.17, 4 Se 2.24
Cu 0.5000 0.0000 0.0000  2 Li 2.17
Se 0.0000 0.0000 0.5000  2 Li 2.24
Se 0.0000 0.5000 0.0000  2 Li 2.24
N 0.5000 0.5000 0.5000  8 Se 3.11, 4 Cu 3.16



<b>
# LiCuSe2N

LiCuSe2N after structural relaxation (GGA-PBEsol, the Alexandria database).

Results
The density of states at the Fermi level is 3.6 states/eV/f.u. The symmetry is P4/mmm (123). The magnetic moment is 0.744 μB per cell.

Unit cell a=3.4560 b=5.0304 c=5.0304 alpha=90.00 beta=90.00 gamma=90.00
Closest atoms and distances in Å follow each position.
Atoms (fractional coordinates):
Li 0.5000 0.5000 0.5000  8 Se 3.05
Cu 0.0000 0.0000 0.0000  2 N 1.73
Se 0.0000 0.0000 0.5000  2 Cu 2.52
Se 0.0000 0.5000 0.0000  2 Cu 2.52
N 0.5000 0.0000 0.0000  2 Cu 1.73



Most stable structure, least stable structure: <b>, <a>.



<a>
# LiNbCu3

LiNbCu3 after structural relaxation (GGA-PBEsol, the Alexandria database).

Results
The density of states at the Fermi level is 4.5 states/eV/f.u. The symmetry is Pm-3m (221). The magnetic moment is 0.001 μB per cell.

Unit cell a=4.7585 b=4.7585 c=4.7585 alpha=90.00 beta=90.00 gamma=90.00
Closest atoms and distances in Å follow each position.
Atoms (fractional coordinates):
Nb 0.0000 0.0000 0.0000  6 Cu 2.38
Cu 0.0000 0.5000 0.0000  2 Nb 2.38
Cu 0.0000 0.0000 0.5000  2 Nb 2.38
Cu 0.5000 0.0000 0.0000  2 Nb 2.38
Li 0.5000 0.5000 0.5000  12 Cu 3.36



<b>
# LiNbCu3

LiNbCu3 after structural relaxation (GGA-PBEsol, the Alexandria database).

Results
The density of states at the Fermi level is 6.6 states/eV/f.u. The symmetry is Pm-3m (221). The magnetic moment is 0.013 μB per cell.

Unit cell a=4.0068 b=4.0068 c=4.0068 alpha=90.00 beta=90.00 gamma=90.00
Closest atoms and distances in Å follow each position.
Atoms (fractional coordinates):
Nb 0.5000 0.5000 0.5000  12 Cu 2.83
Cu 0.0000 0.5000 0.0000  2 Li 2.00
Cu 0.0000 0.0000 0.5000  2 Li 2.00
Cu 0.5000 0.0000 0.0000  2 Li 2.00
Li 0.0000 0.0000 0.0000  6 Cu 2.00



Most stable structure, least stable structure: <b>, <a>.



<a>
# Li2CuNiO4

Li2CuNiO4 after structural relaxation (GGA-PBEsol, the Alexandria database).

Results
The density of states at the Fermi level is 2.4 states/eV/f.u. The symmetry is I-4m2 (119). The magnetic moment is 0.000 μB per cell.

Unit cell a=3.9898 b=3.9898 c=4.9871 alpha=113.58 beta=113.58 gamma=90.00
Closest atoms and distances in Å follow each position.
Atoms (fractional coordinates):
Ni 0.7500 0.2500 0.5000  6 O 1.86-2.00
O 0.7318 0.7318 0.4637  1 Cu 1.91, 2 Li 2.00, 2 Ni 2.00
O 0.2682 0.2682 0.5363  1 Cu 1.91, 2 Li 2.00, 2 Ni 2.00
O 0.5237 0.0237 0.0474  1 Ni 1.86, 2 Li 2.00, 2 Cu 2.00
O 0.9763 0.4763 0.9526  1 Ni 1.86, 2 Li 2.00, 2 Cu 2.00
Cu 0.5000 0.5000 0.0000  6 O 1.91-2.00
Li 0.0000 0.0000 0.0000  6 O 2.00-2.21
Li 0.2500 0.7500 0.5000  4 O 2.00



<b>
# Li2CuNiO4

Li2CuNiO4 after structural relaxation (GGA-PBEsol, the Alexandria database).

Results
The density of states at the Fermi level is 1.8 states/eV/f.u. The symmetry is C2/c (15). The magnetic moment is 1.846 μB per cell.

Unit cell a=5.5825 b=5.5825 c=5.9228 alpha=116.16 beta=118.33 gamma=91.65
Closest atoms and distances in Å follow each position.
Atoms (fractional coordinates):
Li 0.5000 0.0000 0.5000  4 O 2.02-2.05
Li 0.0000 0.0000 0.0000  4 O 2.02-2.05
Li 0.5000 0.0000 0.0000  6 O 2.01-2.18
Li 0.5000 0.5000 0.5000  6 O 2.01-2.18
Cu 0.0000 0.5000 0.0000  4 O 1.85-1.86
Cu 0.0000 0.0000 0.5000  4 O 1.85-1.86
Ni 0.0000 0.5000 0.5000  6 O 1.88-2.05
Ni 0.5000 0.5000 0.0000  6 O 1.88-2.05
O 0.2757 0.2693 0.5745  1 Cu 1.86, 2 Ni 1.90-2.05, 1 Li 2.02
O 0.1947 0.7012 0.9255  1 Cu 1.86, 2 Ni 1.90-2.05, 1 Li 2.02
O 0.8053 0.2988 0.0745  1 Cu 1.86, 2 Ni 1.90-2.05, 1 Li 2.02
O 0.7243 0.7307 0.4255  1 Cu 1.86, 2 Ni 1.90-2.05, 1 Li 2.02
O 0.7552 0.2161 0.4501  1 Cu 1.85, 1 Ni 1.88, 2 Li 2.01-2.05
O 0.2660 0.3051 0.0499  1 Cu 1.85, 1 Ni 1.88, 2 Li 2.01-2.05
O 0.7340 0.6949 0.9501  1 Cu 1.85, 1 Ni 1.88, 2 Li 2.01-2.05
O 0.2448 0.7839 0.5499  1 Cu 1.85, 1 Ni 1.88, 2 Li 2.01-2.05



<c>
# Li2CuNiO4

Li2CuNiO4 after structural relaxation (GGA-PBEsol, the Alexandria database).

Results
The density of states at the Fermi level is 1.1 states/eV/f.u. The symmetry is P2/m (10). The magnetic moment is 0.000 μB per cell.

Unit cell a=2.7658 b=6.3663 c=5.0164 alpha=129.98 beta=90.00 gamma=90.00
Closest atoms and distances in Å follow each position.
Atoms (fractional coordinates):
Ni 0.5000 0.0000 0.5000  6 O 1.88-1.94
O 0.0000 0.1954 0.8275  2 Ni 1.88, 3 Li 1.92-2.06
O 0.5000 0.7312 0.5670  2 Cu 1.89, 1 Ni 1.94
O 0.0000 0.8046 0.1725  2 Ni 1.88, 3 Li 1.92-2.06
O 0.5000 0.2688 0.4330  2 Cu 1.89, 1 Ni 1.94
Cu 0.0000 0.5000 0.5000  4 O 1.89
Li 0.0000 0.0000 0.0000  2 O 1.92
Li 0.5000 0.5000 0.0000  6 O 2.06-2.21



Most stable structure, least stable structure: <c>, <b>.



<a>
# Li4Cu3O6

Li4Cu3O6 after structural relaxation (GGA-PBEsol, the Alexandria database).

Results
The density of states at the Fermi level is 4.4 states/eV/f.u. The symmetry is C2/m (12). The magnetic moment is 0.691 μB per cell.

Unit cell a=3.4324 b=5.2595 c=8.2563 alpha=105.11 beta=90.00 gamma=109.04
Closest atoms and distances in Å follow each position.
Atoms (fractional coordinates):
Li 0.2234 0.4468 0.2564  4 O 1.91-2.01
Li 0.7764 0.5528 0.0768  4 O 1.91-2.01
Li 0.2225 0.4451 0.5582  4 O 1.91-2.00
Li 0.7771 0.5542 0.7750  4 O 1.91-2.00
Cu 0.4998 0.9996 0.6667  4 O 1.82-1.85
Cu 0.5042 0.0085 0.3367  4 O 1.84-1.88
Cu 0.4955 0.9910 0.9968  4 O 1.84-1.88
O 0.6311 0.2622 0.2052  2 Cu 1.87-1.88, 3 Li 1.94-2.01
O 0.3743 0.7485 0.4585  2 Cu 1.82-1.84, 2 Li 1.91
O 0.6254 0.2507 0.8749  2 Cu 1.82-1.84, 2 Li 1.91
O 0.3687 0.7373 0.1282  2 Cu 1.87-1.88, 3 Li 1.94-2.01
O 0.6346 0.2693 0.5507  2 Cu 1.85-1.88, 3 Li 1.92-2.00
O 0.3651 0.7301 0.7828  2 Cu 1.85-1.88, 3 Li 1.92-2.00



<b>
# Li4Cu3O6

Li4Cu3O6 after structural relaxation (GGA-PBEsol, the Alexandria database).

Results
The density of states at the Fermi level is 4.5 states/eV/f.u. The symmetry is C2/m (12). The magnetic moment is 1.091 μB per cell.

Unit cell a=6.4695 b=6.4695 c=7.1933 alpha=68.78 beta=68.78 gamma=78.89
Closest atoms and distances in Å follow each position.
Atoms (fractional coordinates):
Li 0.7018 0.0234 0.8655  4 O 1.88-1.98
Li 0.9766 0.2982 0.1345  4 O 1.88-1.98
Li 0.3644 0.3644 0.8591  4 O 1.87-1.95
Li 0.3155 0.6845 0.5000  4 O 1.97-2.17
Li 0.0234 0.7018 0.8655  4 O 1.88-1.98
Li 0.6356 0.6356 0.1409  4 O 1.87-1.95
Li 0.2982 0.9766 0.1345  4 O 1.88-1.98
Li 0.6845 0.3155 0.5000  4 O 1.97-2.17
Cu 0.5094 0.1795 0.2603  4 O 1.83-1.86
Cu 0.1576 0.1576 0.7278  4 O 1.87-1.90
Cu 0.1795 0.5094 0.2603  4 O 1.83-1.86
Cu 0.8205 0.4906 0.7397  4 O 1.83-1.86
Cu 0.8424 0.8424 0.2722  4 O 1.87-1.90
Cu 0.4906 0.8205 0.7397  4 O 1.83-1.86
O 0.0730 0.4086 0.8233  2 Cu 1.86-1.90, 3 Li 1.95-1.98
O 0.4318 0.4318 0.3452  2 Cu 1.86, 1 Li 1.87
O 0.2714 0.2714 0.1565  2 Cu 1.85, 3 Li 1.89-1.94
O 0.8942 0.2408 0.6601  2 Cu 1.83-1.87, 2 Li 1.88-1.97
O 0.7592 0.1058 0.3399  2 Cu 1.83-1.87, 2 Li 1.88-1.97
O 0.4086 0.0730 0.8233  2 Cu 1.86-1.90, 3 Li 1.95-1.98
O 0.5914 0.9270 0.1767  2 Cu 1.86-1.90, 3 Li 1.95-1.98
O 0.2408 0.8942 0.6601  2 Cu 1.83-1.87, 2 Li 1.88-1.97
O 0.1058 0.7592 0.3399  2 Cu 1.83-1.87, 2 Li 1.88-1.97
O 0.7286 0.7286 0.8435  2 Cu 1.85, 3 Li 1.89-1.94
O 0.9270 0.5914 0.1767  2 Cu 1.86-1.90, 3 Li 1.95-1.98
O 0.5682 0.5682 0.6548  2 Cu 1.86, 1 Li 1.87



Most stable structure, least stable structure: <b>, <a>.



<a>
# Li2CuO2

Li2CuO2 after structural relaxation (GGA-PBEsol, the Alexandria database).

Results
The density of states at the Fermi level is 0.7 states/eV/f.u. The symmetry is C2/m (12). The magnetic moment is 0.936 μB per cell.

Unit cell a=2.8176 b=3.4907 c=5.2297 alpha=102.15 beta=90.00 gamma=113.80
Closest atoms and distances in Å follow each position.
Atoms (fractional coordinates):
Cu 0.5000 0.0000 0.0000  4 O 1.96
O 0.1060 0.2120 0.2570  4 Li 1.96-1.98, 2 Cu 1.96
O 0.8940 0.7880 0.7430  4 Li 1.96-1.98, 2 Cu 1.96
Li 0.1724 0.3447 0.6466  4 O 1.96-1.98
Li 0.8276 0.6553 0.3534  4 O 1.96-1.98



<b>
# Li2CuO2

Li2CuO2 after structural relaxation (GGA-PBEsol, the Alexandria database).

Results
The density of states at the Fermi level is 0.5 states/eV/f.u. The symmetry is Immm (71). The magnetic moment is 0.965 μB per cell.

Unit cell a=2.8631 b=3.6891 c=5.1389 alpha=111.04 beta=106.17 gamma=90.00
Closest atoms and distances in Å follow each position.
Atoms (fractional coordinates):
Cu 0.0000 0.5000 0.0000  4 O 1.95
O 0.6441 0.6441 0.2882  4 Li 1.93-1.98, 2 Cu 1.95
O 0.3559 0.3559 0.7118  4 Li 1.93-1.98, 2 Cu 1.95
Li 0.7069 0.2069 0.4138  4 O 1.93-1.98
Li 0.2931 0.7931 0.5862  4 O 1.93-1.98



Most stable structure, least stable structure: <b>, <a>.